Entry from Alexandria via LeMat-Bulk: a geometry-optimized Ce2PrRu structure (PBE).

abc: 14.3060 9.5463 6.3259
angles: 90.00 90.00 90.00
Closest atoms and distances in Å follow each position.
Atoms (fractional coordinates):
Ce  0.0379  0.0606  0.2439  2 Ru 2.61-2.82
Ce  0.0379  0.4394  0.2439  2 Ru 2.61-2.82
Ce  0.2119  0.5635  0.9379  2 Ru 2.60-2.79
Ce  0.2119  0.9365  0.9379  2 Ru 2.60-2.79
Ce  0.2881  0.0635  0.4379  2 Ru 2.60-2.79
Ce  0.2881  0.4365  0.4379  2 Ru 2.60-2.79
Ce  0.4621  0.5606  0.7439  2 Ru 2.61-2.82
Ce  0.4621  0.9394  0.7439  2 Ru 2.61-2.82
Ce  0.5379  0.0606  0.2561  2 Ru 2.61-2.82
Ce  0.5379  0.4394  0.2561  2 Ru 2.61-2.82
Ce  0.7119  0.5635  0.5621  2 Ru 2.60-2.79
Ce  0.7119  0.9365  0.5621  2 Ru 2.60-2.79
Ce  0.7881  0.0635  0.0621  2 Ru 2.60-2.79
Ce  0.7881  0.4365  0.0621  2 Ru 2.60-2.79
Ce  0.9621  0.5606  0.7561  2 Ru 2.61-2.82
Ce  0.9621  0.9394  0.7561  2 Ru 2.61-2.82
Pr  0.1004  0.2500  0.7318  3 Ru 3.20-3.32, 2 Ce 3.57
Pr  0.1461  0.7500  0.4559  3 Ru 3.16-3.38
Pr  0.3539  0.2500  0.9559  3 Ru 3.16-3.38
Pr  0.3996  0.7500  0.2318  3 Ru 3.20-3.32, 2 Ce 3.57
Pr  0.6004  0.2500  0.7682  3 Ru 3.20-3.32, 2 Ce 3.57
Pr  0.6461  0.7500  0.0441  3 Ru 3.16-3.38
Pr  0.8539  0.2500  0.5441  3 Ru 3.16-3.38
Pr  0.8996  0.7500  0.2682  3 Ru 3.20-3.32, 2 Ce 3.57
Ru  0.0802  0.7500  0.9686  4 Ce 2.60-2.82
Ru  0.1692  0.2500  0.2303  4 Ce 2.61-2.79
Ru  0.3308  0.7500  0.7303  4 Ce 2.61-2.79
Ru  0.4198  0.2500  0.4686  4 Ce 2.60-2.82
Ru  0.5802  0.7500  0.5314  4 Ce 2.60-2.82
Ru  0.6692  0.2500  0.2697  4 Ce 2.61-2.79
Ru  0.8308  0.7500  0.7697  4 Ce 2.61-2.79
Ru  0.9198  0.2500  0.0314  4 Ce 2.60-2.82

Calculated values
- E_form: -0.82 eV/f.u.

=====

Entry from Alexandria via LeMat-Bulk: a geometry-optimized Li2Si3Ni5 structure (PBE).

abc: 10.7063 10.7063 5.8369
angles: 90.00 90.00 159.68
Closest atoms and distances in Å follow each position.
Atoms (fractional coordinates):
Li  0.0185  0.9815  0.5000  5 Si 2.55-2.56, 6 Ni 2.68-2.83
Li  0.3034  0.6966  0.7408  7 Ni 2.36-2.56, 2 Si 2.49
Li  0.6966  0.3034  0.2408  7 Ni 2.36-2.56, 2 Si 2.49
Li  0.9815  0.0185  0.0000  5 Si 2.55-2.56, 6 Ni 2.68-2.83
Si  0.1200  0.8800  0.2618  7 Ni 2.31-2.48, 3 Li 2.49-2.55
Si  0.2961  0.7039  0.2816  7 Ni 2.31-2.48
Si  0.4620  0.5380  0.2849  5 Ni 2.23-2.36
Si  0.5380  0.4620  0.7849  5 Ni 2.23-2.36
Si  0.7039  0.2961  0.7816  7 Ni 2.31-2.48
Si  0.8800  0.1200  0.7618  7 Ni 2.31-2.48, 3 Li 2.49-2.55
Ni  0.1022  0.8978  0.8543  3 Si 2.36-2.41, 1 Ni 2.51
Ni  0.2020  0.7980  0.5361  4 Si 2.36-2.48, 3 Li 2.45-2.56, 4 Ni 2.59-2.60
Ni  0.2136  0.7864  0.0058  4 Si 2.31-2.48, 3 Li 2.36-2.44, 1 Ni 2.51
Ni  0.3819  0.6181  0.0322  4 Si 2.24-2.46, 1 Li 2.37, 1 Ni 2.48
Ni  0.4357  0.5643  0.6546  4 Si 2.23-2.31, 1 Ni 2.48
Ni  0.5643  0.4357  0.1546  4 Si 2.23-2.31, 1 Ni 2.48
Ni  0.6181  0.3819  0.5322  4 Si 2.24-2.46, 1 Li 2.37, 1 Ni 2.48
Ni  0.7864  0.2136  0.5058  4 Si 2.31-2.48, 3 Li 2.36-2.44, 1 Ni 2.51
Ni  0.7980  0.2020  0.0361  4 Si 2.36-2.48, 3 Li 2.45-2.56, 4 Ni 2.59-2.60
Ni  0.8978  0.1022  0.3543  3 Si 2.36-2.41, 1 Ni 2.51

Calculated values
- Formation energy from raw total energies: -0.452 eV per atom

=====

Entry from Alexandria via LeMat-Bulk: a geometry-optimized Pr2HoAu structure (PBE).

abc: 3.7670 3.7670 8.5095
angles: 90.00 90.00 90.00
Closest atoms and distances in Å follow each position.
Atoms (fractional coordinates):
Pr  0.0000  0.0000  0.2138  4 Au 3.23, 4 Ho 3.61
Pr  0.0000  0.0000  0.7862  4 Au 3.23, 4 Ho 3.61
Ho  0.5000  0.5000  0.5000  8 Pr 3.61, 4 Ho 3.77
Au  0.5000  0.5000  0.0000  8 Pr 3.23

Calculated values
- E_form: -1.32 eV/f.u.